A plane-wave DFT calculation with PBE was carried out for an optimized crystal structure of FeCl.

Summary:
The uncorrected formation energy comes out at -13.4 kJ/mol of atoms. The calculation puts the density of states at the Fermi level at 0.139 states/eV per atom.

Cell lengths 3.264, 14.573, 3.268 Å; angles 90.00, 90.00, 90.00 degrees
Space group Cmcm (No. 63)
Asymmetric unit:
Fe: 0.000 0.217 0.250 (multiplicity 4)
Cl: 0.000 0.379 0.250 (multiplicity 4)